No. 1
The following is a GGA-PBE calculation of an optimized crystal structure of ThVTc, from Alexandria.

Cell: 4.1064 4.1064 4.4989 Å, 90.00 90.00 120.00°
Last column: nearest neighbours and their distance in Å.
Space group P3m1 (No. 156)
Symmetry-distinct sites (fractional):
Th 0.0000 0.0000 0.0000 [1 per cell]  6 Tc 3.27, 6 V 3.27
V 0.6667 0.3333 0.4995 [1 per cell]  3 Tc 2.37
Tc 0.3333 0.6667 0.5009 [1 per cell]  3 V 2.37

- ΔE to the lowest computed polymorph (meV/atom) = 44
- DFT total energy (eV per cell) = -26.54
- total magnetic moment (μB/atom) = 0.00
- ΔE_f (eV per formula unit) = 0.36

***

No. 2
The following is a GGA-PBE calculation of an optimized crystal structure of NdSmBi2, from Alexandria.

Cell: 5.9688 5.9688 3.4566 Å, 90.00 90.00 90.00°
Last column: nearest neighbours and their distance in Å.
Space group P4/mmm (No. 123)
Symmetry-distinct sites (fractional):
Nd 0.0000 0.0000 0.0000 [1 per cell]  8 Bi 3.45, 2 Nd 3.46
Sm 0.5000 0.5000 0.0000 [1 per cell]  8 Bi 3.45, 2 Sm 3.46
Bi 0.0000 0.5000 0.5000 [2 per cell]  4 Sm 3.45, 4 Nd 3.45, 2 Bi 3.46

- ΔE to the lowest computed polymorph (meV/atom) = 193
- DFT total energy (eV per cell) = -20.23
- total magnetic moment (μB/atom) = 0.00
- ΔE_f (eV per formula unit) = -2.98

***

No. 3
The following is a GGA-PBE calculation of an optimized crystal structure of GePtO2, from Alexandria.

Cell: 2.9020 5.7638 6.4071 Å, 88.06 82.85 84.08°
Last column: nearest neighbours and their distance in Å.
Space group P1 (No. 1)
Symmetry-distinct sites (fractional):
Ge 0.0000 0.0000 0.0000 [1 per cell]  3 O 1.88-2.01
Ge 0.4930 0.5259 0.5915 [1 per cell]  3 O 1.80-1.87
Pt 0.5298 0.9164 0.4826 [1 per cell]  3 O 2.06-2.26
Pt 0.7881 0.3939 0.0947 [1 per cell]  2 O 2.06-2.12
O 0.5298 0.9732 0.7990 [1 per cell]  2 Ge 1.88-2.01, 1 Pt 2.06
O 0.5326 0.8416 0.1680 [1 per cell]  2 Ge 1.91-2.11, 1 Pt 2.07
O 0.6018 0.2963 0.4029 [1 per cell]  1 Ge 1.80
O 0.9558 0.4613 0.7690 [1 per cell]  2 Ge 1.87

- DFT total energy (eV per cell) = -47.77
- ΔE_f (raw) (kcal/mol of atoms) = -19.1
- total magnetic moment (μB/atom) = 0.00

***

No. 4
The following is a GGA-PBE calculation of an optimized crystal structure of Li2TlSb, from Alexandria.

Cell: 8.9210 3.3493 6.4129 Å, 90.00 99.44 90.00°
Last column: nearest neighbours and their distance in Å.
Space group C2/m (No. 12)
Symmetry-distinct sites (fractional):
Li 0.2399 0.0000 0.1983 [4 per cell]  3 Sb 2.82-2.85, 2 Li 3.08, 1 Tl 3.11
Tl 0.0000 0.0000 0.5000 [2 per cell]  6 Li 3.11-3.23, 2 Tl 3.35
Sb 0.0000 0.5000 0.0000 [2 per cell]  6 Li 2.82-2.85

- DFT total energy (eV per cell) = -23.13
- ΔE_f (raw) (kcal/mol of atoms) = -7.2
- total magnetic moment (μB/atom) = 0.00